Record 1
Here is crystalline Zr2ScOs at its relaxed geometry from Alexandria via LeMat-Bulk. Energies are from PBE.

Cell and atoms, written as CIF:
```
data_Zr2ScOs
_cell_length_a 5.6730
_cell_length_b 9.4705
_cell_length_c 3.0660
_cell_angle_alpha 90.00
_cell_angle_beta 109.43
_cell_angle_gamma 90.00
_space_group_name_H-M_alt 'P 1'
_space_group_IT_number 1
loop_
_space_group_symop_operation_xyz
'x,y,z'
loop_
_atom_site_label
_atom_site_type_symbol
_atom_site_fract_x
_atom_site_fract_y
_atom_site_fract_z
Zr1 Zr 0.2500 0.2500 0.0000
Zr2 Zr 0.2500 0.7500 0.0000
Zr3 Zr 0.7500 0.2500 0.0000
Zr4 Zr 0.7500 0.7500 0.0000
Sc1 Sc 0.0000 0.0000 0.5000
Sc2 Sc 0.5000 0.5000 0.5000
Os1 Os 0.0000 0.5000 0.5000
Os2 Os 0.5000 0.0000 0.5000
```

Calculated values
Total magnetic moment = 0.0 μB/f.u.
Theoretical density = 8.929 g cm⁻³
Calculated formation energy = -0.008 eV/atom

=====

Record 2
Here is crystalline Hf2MnH at its relaxed geometry from Alexandria via LeMat-Bulk. Energies are from PBE.

Cell and atoms, written as CIF:
```
data_Hf2MnH
_cell_length_a 6.1684
_cell_length_b 6.1684
_cell_length_c 6.1684
_cell_angle_alpha 90.00
_cell_angle_beta 90.00
_cell_angle_gamma 90.00
_space_group_name_H-M_alt 'P 1'
_space_group_IT_number 1
loop_
_space_group_symop_operation_xyz
'x,y,z'
loop_
_atom_site_label
_atom_site_type_symbol
_atom_site_fract_x
_atom_site_fract_y
_atom_site_fract_z
Hf1 Hf 0.2500 0.2500 0.2500
Hf2 Hf 0.2500 0.2500 0.7500
Hf3 Hf 0.2500 0.7500 0.2500
Hf4 Hf 0.2500 0.7500 0.7500
Hf5 Hf 0.7500 0.2500 0.2500
Hf6 Hf 0.7500 0.2500 0.7500
Hf7 Hf 0.7500 0.7500 0.2500
Hf8 Hf 0.7500 0.7500 0.7500
Mn1 Mn 0.0000 0.0000 0.0000
Mn2 Mn 0.0000 0.5000 0.5000
Mn3 Mn 0.5000 0.0000 0.5000
Mn4 Mn 0.5000 0.5000 0.0000
H1 H 0.0000 0.0000 0.5000
H2 H 0.0000 0.5000 0.0000
H3 H 0.5000 0.0000 0.0000
H4 H 0.5000 0.5000 0.5000
```

Calculated values
Polymorph energy (0 for the lowest one) = 0.271 eV per atom
Total magnetic moment = 0.0 μB/f.u.
Theoretical density = 11.686 g cm⁻³

=====

Record 3
Here is crystalline AcTb2Zr at its relaxed geometry from Alexandria via LeMat-Bulk. Energies are from PBE.

Cell and atoms, written as CIF:
```
data_AcTb2Zr
_cell_length_a 3.5822
_cell_length_b 3.5822
_cell_length_c 34.7040
_cell_angle_alpha 90.00
_cell_angle_beta 90.00
_cell_angle_gamma 120.00
_space_group_name_H-M_alt 'P 1'
_space_group_IT_number 1
loop_
_space_group_symop_operation_xyz
'x,y,z'
loop_
_atom_site_label
_atom_site_type_symbol
_atom_site_fract_x
_atom_site_fract_y
_atom_site_fract_z
Ac1 Ac 0.0000 0.0000 0.0000
Ac2 Ac 0.3333 0.6667 0.6667
Ac3 Ac 0.6667 0.3333 0.3333
Tb1 Tb 0.0000 0.0000 0.5744
Tb2 Tb 0.0000 0.0000 0.7582
Tb3 Tb 0.3333 0.6667 0.2410
Tb4 Tb 0.3333 0.6667 0.4249
Tb5 Tb 0.6667 0.3333 0.0915
Tb6 Tb 0.6667 0.3333 0.9077
Zr1 Zr 0.0000 0.0000 0.1661
Zr2 Zr 0.3333 0.6667 0.8328
Zr3 Zr 0.6667 0.3333 0.4995
```

Calculated values
Polymorph energy (0 for the lowest one) = 0.000 eV per atom
Total magnetic moment = 0.0 μB/f.u.
Theoretical density = 8.216 g cm⁻³
Calculated formation energy = 0.158 eV/atom

=====

Record 4
Here is crystalline Ba2NdNbN4 at its relaxed geometry from Alexandria via LeMat-Bulk. Energies are from PBE.

Cell and atoms, written as CIF:
```
data_Ba2NdNbN4
_cell_length_a 7.3252
_cell_length_b 7.3252
_cell_length_c 7.3252
_cell_angle_alpha 121.72
_cell_angle_beta 118.90
_cell_angle_gamma 89.48
_space_group_name_H-M_alt 'P 1'
_space_group_IT_number 1
loop_
_space_group_symop_operation_xyz
'x,y,z'
loop_
_atom_site_label
_atom_site_type_symbol
_atom_site_fract_x
_atom_site_fract_y
_atom_site_fract_z
Ba1 Ba 0.0000 0.0000 0.0000
Ba2 Ba 0.5000 0.0000 0.0000
Ba3 Ba 0.5000 0.0000 0.5000
Ba4 Ba 0.5000 0.5000 0.5000
Nd1 Nd 0.0000 0.5000 0.5000
Nd2 Nd 0.5000 0.5000 0.0000
Nb1 Nb 0.0000 0.0000 0.5000
Nb2 Nb 0.0000 0.5000 0.0000
N1 N 0.1928 0.7430 0.4498
N2 N 0.2060 0.2268 0.5208
N3 N 0.2060 0.6852 0.9792
N4 N 0.2069 0.2570 0.9498
N5 N 0.7931 0.7430 0.0502
N6 N 0.7940 0.3148 0.0208
N7 N 0.7940 0.7732 0.4792
N8 N 0.8072 0.2570 0.5502
```

Calculated values
Total magnetic moment = 0.0 μB/f.u.
Formation energy (no corrections) = -65.7 kJ per mole of atoms
Theoretical density = 6.822 g cm⁻³

=====

Record 5
Here is crystalline KCrTc2 at its relaxed geometry from Alexandria via LeMat-Bulk. Energies are from PBE.

Cell and atoms, written as CIF:
```
data_KCrTc2
_cell_length_a 6.3178
_cell_length_b 6.3178
_cell_length_c 6.3178
_cell_angle_alpha 90.00
_cell_angle_beta 90.00
_cell_angle_gamma 90.00
_space_group_name_H-M_alt 'P 1'
_space_group_IT_number 1
loop_
_space_group_symop_operation_xyz
'x,y,z'
loop_
_atom_site_label
_atom_site_type_symbol
_atom_site_fract_x
_atom_site_fract_y
_atom_site_fract_z
K1 K 0.0000 0.0000 0.0000
K2 K 0.0000 0.5000 0.5000
K3 K 0.5000 0.0000 0.5000
K4 K 0.5000 0.5000 0.0000
Cr1 Cr 0.0000 0.0000 0.5000
Cr2 Cr 0.0000 0.5000 0.0000
Cr3 Cr 0.5000 0.0000 0.0000
Cr4 Cr 0.5000 0.5000 0.5000
Tc1 Tc 0.2500 0.2500 0.2500
Tc2 Tc 0.2500 0.2500 0.7500
Tc3 Tc 0.2500 0.7500 0.2500
Tc4 Tc 0.2500 0.7500 0.7500
Tc5 Tc 0.7500 0.2500 0.2500
Tc6 Tc 0.7500 0.2500 0.7500
Tc7 Tc 0.7500 0.7500 0.2500
Tc8 Tc 0.7500 0.7500 0.7500
```

Calculated values
Polymorph energy (0 for the lowest one) = 0.826 eV per atom
Total magnetic moment = 0.0 μB/f.u.
Theoretical density = 7.562 g cm⁻³
Calculated formation energy = 1.574 eV/atom

=====

Record 6
Here is crystalline MgAgSb2I at its relaxed geometry from Alexandria via LeMat-Bulk. Energies are from PBE.

Cell and atoms, written as CIF:
```
data_MgAgSb2I
_cell_length_a 5.3946
_cell_length_b 5.3946
_cell_length_c 5.7738
_cell_angle_alpha 90.00
_cell_angle_beta 90.00
_cell_angle_gamma 90.00
_space_group_name_H-M_alt 'P 1'
_space_group_IT_number 1
loop_
_space_group_symop_operation_xyz
'x,y,z'
loop_
_atom_site_label
_atom_site_type_symbol
_atom_site_fract_x
_atom_site_fract_y
_atom_site_fract_z
Mg1 Mg 0.0000 0.0000 0.0000
Ag1 Ag 0.5000 0.5000 0.5000
Sb1 Sb 0.0000 0.5000 0.5000
Sb2 Sb 0.5000 0.0000 0.5000
I1 I 0.5000 0.5000 0.0000
```

Calculated values
Polymorph energy (0 for the lowest one) = 0.000 eV per atom
Total magnetic moment = 1.0 μB/f.u.
Formation energy (no corrections) = 49.5 kJ per mole of atoms
Theoretical density = 4.967 g cm⁻³

=====

Record 7
Here is crystalline Li2GaSn at its relaxed geometry from Alexandria via LeMat-Bulk. Energies are from PBE.

Cell and atoms, written as CIF:
```
data_Li2GaSn
_cell_length_a 3.2814
_cell_length_b 3.2814
_cell_length_c 6.5996
_cell_angle_alpha 90.00
_cell_angle_beta 90.00
_cell_angle_gamma 90.00
_space_group_name_H-M_alt 'P 1'
_space_group_IT_number 1
loop_
_space_group_symop_operation_xyz
'x,y,z'
loop_
_atom_site_label
_atom_site_type_symbol
_atom_site_fract_x
_atom_site_fract_y
_atom_site_fract_z
Li1 Li 0.0000 0.0000 0.2272
Li2 Li 0.0000 0.0000 0.7728
Ga1 Ga 0.5000 0.5000 0.0000
Sn1 Sn 0.5000 0.5000 0.5000
```

Calculated values
Total magnetic moment = 0.0 μB/f.u.
Theoretical density = 4.728 g cm⁻³
Calculated formation energy = -0.299 eV/atom

=====

Record 8
Here is crystalline Sn2HgSe2 at its relaxed geometry from Alexandria via LeMat-Bulk. Energies are from PBE.

Cell and atoms, written as CIF:
```
data_Sn2HgSe2
_cell_length_a 8.3044
_cell_length_b 8.3044
_cell_length_c 3.9574
_cell_angle_alpha 90.00
_cell_angle_beta 90.00
_cell_angle_gamma 90.00
_space_group_name_H-M_alt 'P 1'
_space_group_IT_number 1
loop_
_space_group_symop_operation_xyz
'x,y,z'
loop_
_atom_site_label
_atom_site_type_symbol
_atom_site_fract_x
_atom_site_fract_y
_atom_site_fract_z
Sn1 Sn 0.1582 0.3418 0.0000
Sn2 Sn 0.3418 0.8418 0.0000
Sn3 Sn 0.6582 0.1582 0.0000
Sn4 Sn 0.8418 0.6582 0.0000
Hg1 Hg 0.0000 0.0000 0.0000
Hg2 Hg 0.5000 0.5000 0.0000
Se1 Se 0.1688 0.6688 0.5000
Se2 Se 0.3312 0.1688 0.5000
Se3 Se 0.6688 0.8312 0.5000
Se4 Se 0.8312 0.3312 0.5000
```

Calculated values
Polymorph energy (0 for the lowest one) = 0.057 eV per atom
Total magnetic moment = 0.0 μB/f.u.
Formation energy (no corrections) = -19.3 kJ per mole of atoms
Theoretical density = 7.252 g cm⁻³

=====

Which value of total magnetic moment does entry 3 give?
0.0 μB/f.u.

=====

Which value of theoretical density does entry 5 give?
7.562 g cm⁻³